# MnIn2Re

A relaxed MnIn2Re crystal (PBE, Alexandria).

Values from the calculation:
Relative energy among the computed polymorphs, eV/atom: 0.3061
Density of states at the Fermi level, states/eV/cell: 6.107
Calculated volume, Å³ per atom: 18.0
Calculated formation energy, eV per atom: 0.571
E_tot, eV/cell: -49.62

Lattice parameters (Å, degrees): 3.1443 4.9682 9.2388 90.00 90.00 90.00
Sites, in units of the cell vectors:
Mn 0.0000 0.0000 0.0000
Mn 0.5000 0.5000 0.0000
In 0.0000 0.5000 0.2464
In 0.0000 0.5000 0.7536
In 0.5000 0.0000 0.2464
In 0.5000 0.0000 0.7536
Re 0.0000 0.0000 0.5000
Re 0.5000 0.5000 0.5000